Model 1:
Here is crystalline LaPmGa4 at its relaxed geometry from Alexandria. Energies are from PBE.

Unit cell a=8.0821 b=8.0821 c=8.0821 alpha=149.05 beta=149.05 gamma=44.33
Fractional positions:
La (0.0000, 0.0000, 0.0000)
Pm (0.2500, 0.7500, 0.5000)
Ga (0.4158, 0.4158, 0.0000)
Ga (0.5842, 0.5842, 0.0000)
Ga (0.6678, 0.1678, 0.5000)
Ga (0.8322, 0.3322, 0.5000)

The value obtained for the calculated density is 6.71 g/cm3. The calculation puts the density of states at the Fermi level at 0.646 states/eV/atom. Its size of the total moment is 0.00 μB per cell.

---

Model 2:
Here is crystalline LaPmGa4 at its relaxed geometry from Alexandria. Energies are from PBE.

Unit cell a=5.6607 b=5.6607 c=5.6607 alpha=60.00 beta=60.00 gamma=60.00
Fractional positions:
La (0.0000, 0.0000, 0.0000)
Pm (0.2500, 0.2500, 0.2500)
Ga (0.1248, 0.6251, 0.6251)
Ga (0.6251, 0.1248, 0.6251)
Ga (0.6251, 0.6251, 0.1248)
Ga (0.6251, 0.6251, 0.6251)

The value obtained for the calculated density is 7.29 g/cm3. The calculation puts the density of states at the Fermi level at 0.639 states/eV/atom. Its size of the total moment is 0.00 μB per cell.

---

Model 3:
Here is crystalline LaPmGa4 at its relaxed geometry from Alexandria. Energies are from PBE.

Unit cell a=4.2943 b=4.2943 c=8.7175 alpha=90.00 beta=90.00 gamma=120.00
Fractional positions:
La (0.0000, 0.0000, 0.0000)
Pm (0.0000, 0.0000, 0.5000)
Ga (0.3333, 0.6667, 0.2568)
Ga (0.3333, 0.6667, 0.7432)
Ga (0.6667, 0.3333, 0.2568)
Ga (0.6667, 0.3333, 0.7432)

The value obtained for the calculated density is 6.71 g/cm3. The calculation puts the density of states at the Fermi level at 0.523 states/eV/atom. Its size of the total moment is 0.00 μB per cell.

---

The structure with the greatest stability is model 3.

---

Model 1:
Here is crystalline La3Pm2Ga3 at its relaxed geometry from Alexandria. Energies are from PBE.

Unit cell a=11.7046 b=11.7046 c=11.7046 alpha=161.24 beta=153.39 gamma=32.75
Fractional positions:
La (0.0000, 0.0000, 0.0000)
La (0.3837, 0.8837, 0.5000)
La (0.6163, 0.1163, 0.5000)
Pm (0.2276, 0.2276, 0.0000)
Pm (0.7724, 0.7724, 0.0000)
Ga (0.1196, 0.6196, 0.5000)
Ga (0.5000, 0.5000, 0.0000)
Ga (0.8804, 0.3804, 0.5000)

The value obtained for the calculated density is 6.59 g/cm3. The calculation puts the density of states at the Fermi level at 0.857 states/eV/atom. Its size of the total moment is 0.00 μB per cell.

---

Model 2:
Here is crystalline La3Pm2Ga3 at its relaxed geometry from Alexandria. Energies are from PBE.

Unit cell a=8.9414 b=8.9414 c=6.8807 alpha=90.00 beta=90.00 gamma=120.00
Fractional positions:
La (0.0000, 0.2438, 0.2500)
La (0.0000, 0.7562, 0.7500)
La (0.2438, 0.0000, 0.2500)
La (0.2438, 0.2438, 0.7500)
La (0.7562, 0.0000, 0.7500)
La (0.7562, 0.7562, 0.2500)
Pm (0.3333, 0.6667, 0.0000)
Pm (0.3333, 0.6667, 0.5000)
Pm (0.6667, 0.3333, 0.0000)
Pm (0.6667, 0.3333, 0.5000)
Ga (0.0000, 0.4043, 0.7500)
Ga (0.0000, 0.5957, 0.2500)
Ga (0.4043, 0.0000, 0.7500)
Ga (0.4043, 0.4043, 0.2500)
Ga (0.5957, 0.0000, 0.2500)
Ga (0.5957, 0.5957, 0.7500)

The value obtained for the calculated density is 6.38 g/cm3. The calculation puts the density of states at the Fermi level at 1.168 states/eV/atom. Its size of the total moment is 0.00 μB per cell.

---

The structure with the greatest stability is model 2.

---

Model 1:
Here is crystalline LaPm2Ga at its relaxed geometry from Alexandria. Energies are from PBE.

Unit cell a=4.8886 b=4.8886 c=4.8117 alpha=90.00 beta=90.00 gamma=90.00
Fractional positions:
La (0.0000, 0.0000, 0.0000)
Pm (0.0000, 0.5000, 0.5000)
Pm (0.5000, 0.0000, 0.5000)
Ga (0.5000, 0.5000, 0.0000)

The value obtained for the calculated density is 7.20 g/cm3. The calculation puts the density of states at the Fermi level at 1.478 states/eV/atom. Its size of the total moment is 0.00 μB per cell.

---

Model 2:
Here is crystalline LaPm2Ga at its relaxed geometry from Alexandria. Energies are from PBE.

Unit cell a=5.4418 b=5.4418 c=5.4418 alpha=60.00 beta=60.00 gamma=60.00
Fractional positions:
La (0.0000, 0.0000, 0.0000)
Pm (0.2500, 0.2500, 0.2500)
Pm (0.7500, 0.7500, 0.7500)
Ga (0.5000, 0.5000, 0.5000)

The value obtained for the calculated density is 7.27 g/cm3. The calculation puts the density of states at the Fermi level at 1.950 states/eV/atom. Its size of the total moment is 0.91 μB per cell.

---

The structure with the greatest stability is model 1.

---

Model 1:
Here is crystalline LaPm2Ga at its relaxed geometry from Alexandria. Energies are from PBE.

Unit cell a=11.6857 b=11.6857 c=11.6857 alpha=17.71 beta=17.71 gamma=17.71
Fractional positions:
La (0.0000, 0.0000, 0.0000)
Pm (0.1027, 0.1027, 0.1027)
Pm (0.8973, 0.8973, 0.8973)
Ga (0.5000, 0.5000, 0.5000)

The value obtained for the calculated density is 6.42 g/cm3. The calculation puts the density of states at the Fermi level at 1.290 states/eV/atom. Its size of the total moment is 0.00 μB per cell.

---

Model 2:
Here is crystalline LaPm2Ga at its relaxed geometry from Alexandria. Energies are from PBE.

Unit cell a=6.5297 b=6.5297 c=6.5297 alpha=45.53 beta=45.53 gamma=45.53
Fractional positions:
La (0.0000, 0.0000, 0.0000)
Pm (0.5572, 0.5572, 0.5572)
Pm (0.7834, 0.7834, 0.7834)
Ga (0.1916, 0.1916, 0.1916)

The value obtained for the calculated density is 6.41 g/cm3. The calculation puts the density of states at the Fermi level at 1.270 states/eV/atom. Its size of the total moment is 0.00 μB per cell.

---

Model 3:
Here is crystalline LaPm2Ga at its relaxed geometry from Alexandria. Energies are from PBE.

Unit cell a=6.9428 b=6.9428 c=7.0598 alpha=90.00 beta=90.00 gamma=134.13
Fractional positions:
La (0.0613, 0.9387, 0.7500)
La (0.9387, 0.0613, 0.2500)
Pm (0.3603, 0.6397, 0.5240)
Pm (0.3603, 0.6397, 0.9760)
Pm (0.6397, 0.3603, 0.0240)
Pm (0.6397, 0.3603, 0.4760)
Ga (0.1783, 0.8217, 0.2500)
Ga (0.8217, 0.1783, 0.7500)

The value obtained for the calculated density is 6.78 g/cm3. The calculation puts the density of states at the Fermi level at 1.345 states/eV/atom. Its size of the total moment is 0.00 μB per cell.

---

Model 4:
Here is crystalline LaPm2Ga at its relaxed geometry from Alexandria. Energies are from PBE.

Unit cell a=3.6264 b=3.6264 c=9.1745 alpha=90.00 beta=90.00 gamma=90.00
Fractional positions:
La (0.0000, 0.0000, 0.0000)
Pm (0.5000, 0.5000, 0.2940)
Pm (0.5000, 0.5000, 0.7060)
Ga (0.0000, 0.0000, 0.5000)

The value obtained for the calculated density is 6.86 g/cm3. The calculation puts the density of states at the Fermi level at 1.177 states/eV/atom. Its size of the total moment is 0.00 μB per cell.

---

The structure with the greatest stability is model 4.

---

Model 1:
Here is crystalline LaPmGa6 at its relaxed geometry from Alexandria. Energies are from PBE.

Unit cell a=4.4657 b=6.2820 c=6.0629 alpha=90.00 beta=90.00 gamma=90.00
Fractional positions:
La (0.0000, 0.0000, 0.0000)
Pm (0.5000, 0.5000, 0.2289)
Ga (0.0000, 0.2478, 0.4750)
Ga (0.0000, 0.5000, 0.8595)
Ga (0.0000, 0.7522, 0.4750)
Ga (0.5000, 0.0000, 0.3836)
Ga (0.5000, 0.2652, 0.7527)
Ga (0.5000, 0.7348, 0.7527)

The value obtained for the calculated density is 6.86 g/cm3. The calculation puts the density of states at the Fermi level at 0.146 states/eV/atom. Its size of the total moment is 0.00 μB per cell.

---

Model 2:
Here is crystalline LaPmGa6 at its relaxed geometry from Alexandria. Energies are from PBE.

Unit cell a=6.5111 b=6.5111 c=4.6124 alpha=90.00 beta=90.00 gamma=120.00
Fractional positions:
La (0.0000, 0.0000, 0.0000)
Pm (0.6667, 0.3333, 0.5000)
Ga (0.0473, 0.5236, 0.0000)
Ga (0.1922, 0.3845, 0.5000)
Ga (0.1922, 0.8078, 0.5000)
Ga (0.4764, 0.5236, 0.0000)
Ga (0.4764, 0.9527, 0.0000)
Ga (0.6155, 0.8078, 0.5000)

The value obtained for the calculated density is 6.89 g/cm3. The calculation puts the density of states at the Fermi level at 0.353 states/eV/atom. Its size of the total moment is 0.00 μB per cell.

---

The structure with the greatest stability is model 2.

---

Model 1:
Here is crystalline LaPm2Ga6 at its relaxed geometry from Alexandria. Energies are from PBE.

Unit cell a=7.9191 b=7.9191 c=7.9191 alpha=147.30 beta=124.96 gamma=65.51
Fractional positions:
La (0.0000, 0.0000, 0.0000)
Pm (0.3706, 0.8706, 0.5000)
Pm (0.6294, 0.1294, 0.5000)
Ga (0.0132, 0.3197, 0.6936)
Ga (0.3205, 0.5000, 0.8205)
Ga (0.3739, 0.6803, 0.6936)
Ga (0.6261, 0.3197, 0.3064)
Ga (0.6795, 0.5000, 0.1795)
Ga (0.9868, 0.6803, 0.3064)

The value obtained for the calculated density is 6.47 g/cm3. The calculation puts the density of states at the Fermi level at 0.485 states/eV/atom. Its size of the total moment is 0.00 μB per cell.

---

Model 2:
Here is crystalline LaPm2Ga6 at its relaxed geometry from Alexandria. Energies are from PBE.

Unit cell a=7.4150 b=7.4150 c=4.3353 alpha=90.00 beta=90.00 gamma=120.00
Fractional positions:
La (0.0000, 0.0000, 0.0000)
Pm (0.3333, 0.6667, 0.0000)
Pm (0.6667, 0.3333, 0.0000)
Ga (0.0000, 0.3348, 0.5000)
Ga (0.0000, 0.6652, 0.5000)
Ga (0.3348, 0.0000, 0.5000)
Ga (0.3348, 0.3348, 0.5000)
Ga (0.6652, 0.0000, 0.5000)
Ga (0.6652, 0.6652, 0.5000)

The value obtained for the calculated density is 6.82 g/cm3. The calculation puts the density of states at the Fermi level at 0.654 states/eV/atom. Its size of the total moment is 0.00 μB per cell.

---

The structure with the greatest stability is model 2.